# 1
Compound: Mn2CrIrC
Source: Alexandria via LeMat-Bulk
Functional: PBE
Structure: relaxed

a b c (Å): 3.795 3.795 3.877
angles (deg): 90.00 90.00 90.00
Atoms (fractional coordinates):
Cr1 0.000 0.000 0.500
C1 0.000 0.000 0.000
Ir1 0.500 0.500 0.500
Mn1 0.000 0.500 0.000
Mn2 0.500 0.000 0.000

Values from the calculation:
Formation energy from the elements (eV/atom): -0.027
Total moment (μB/atom): 0.191
Calculated density (g/cm3): 10.88
VASP energy (eV for the cell shown): -46.2
Symmetry: No. 123
Density of states at the Fermi level (states/eV per cell): 4.4

=====

# 2
Compound: CrMo2IrC
Source: Alexandria via LeMat-Bulk
Functional: PBE
Structure: relaxed

a b c (Å): 4.111 4.111 3.892
angles (deg): 90.00 90.00 90.00
Atoms (fractional coordinates):
Cr1 0.000 0.000 0.500
Mo1 0.000 0.500 0.000
Mo2 0.500 0.000 0.000
Ir1 0.500 0.500 0.500
C1 0.000 0.000 0.000

Values from the calculation:
Formation energy from the elements (eV/atom): -0.008
Total moment (μB/atom): 0.143
Calculated density (g/cm3): 11.31
VASP energy (eV for the cell shown): -49.4
Symmetry: No. 123
Density of states at the Fermi level (states/eV per cell): 3.3

=====

# 3
Compound: Nb2CrIrC
Source: Alexandria via LeMat-Bulk
Functional: PBE
Structure: relaxed

a b c (Å): 4.297 4.297 3.827
angles (deg): 90.00 90.00 90.00
Atoms (fractional coordinates):
Cr1 0.000 0.000 0.500
Nb1 0.000 0.500 0.000
Nb2 0.500 0.000 0.000
Ir1 0.500 0.500 0.500
C1 0.000 0.000 0.000

Values from the calculation:
Formation energy from the elements (eV/atom): -0.240
Total moment (μB/atom): 0.179
Calculated density (g/cm3): 10.39
VASP energy (eV for the cell shown): -49.0
Symmetry: No. 123
Density of states at the Fermi level (states/eV per cell): 4.3

=====

# 4
Compound: CrIr2PbC
Source: Alexandria via LeMat-Bulk
Functional: PBE
Structure: relaxed

a b c (Å): 4.132 4.201 4.132
angles (deg): 90.00 90.00 90.00
Atoms (fractional coordinates):
Pb1 0.500 0.500 0.500
Cr1 0.000 0.500 0.000
C1 0.000 0.000 0.000
Ir1 0.000 0.000 0.500
Ir2 0.500 0.000 0.000

Values from the calculation:
Formation energy from the elements (eV/atom): 0.496
Total moment (μB/atom): 0.000
Calculated density (g/cm3): 15.18
VASP energy (eV for the cell shown): -37.8
Symmetry: No. 123
Density of states at the Fermi level (states/eV per cell): 4.1

=====

# 5
Compound: SrCr2IrC
Source: Alexandria via LeMat-Bulk
Functional: PBE
Structure: relaxed

a b c (Å): 5.110 3.951 5.110
angles (deg): 90.00 90.00 90.00
Atoms (fractional coordinates):
Sr1 0.500 0.500 0.500
C1 0.000 0.500 0.000
Ir1 0.000 0.000 0.000
Cr1 0.000 0.000 0.500
Cr2 0.500 0.000 0.000

Values from the calculation:
Formation energy from the elements (eV/atom): 0.892
Total moment (μB/atom): 1.683
Calculated density (g/cm3): 6.37
VASP energy (eV for the cell shown): -34.6
Symmetry: No. 123
Density of states at the Fermi level (states/eV per cell): 6.2

=====

# 6
Compound: Cr2TcIrC
Source: Alexandria via LeMat-Bulk
Functional: PBE
Structure: relaxed

a b c (Å): 3.883 3.883 3.987
angles (deg): 90.00 90.00 90.00
Atoms (fractional coordinates):
Cr1 0.000 0.500 0.000
Cr2 0.500 0.000 0.000
C1 0.000 0.000 0.000
Ir1 0.500 0.500 0.500
Tc1 0.000 0.000 0.500

Values from the calculation:
Formation energy from the elements (eV/atom): 0.023
Total moment (μB/atom): 0.210
Calculated density (g/cm3): 11.22
VASP energy (eV for the cell shown): -47.6
Symmetry: No. 123
Density of states at the Fermi level (states/eV per cell): 4.7